[1]
Here is an optimized crystal structure of ScCrBr2 from the Alexandria database. Energies are from PBE.

a = 3.636 Å, b = 3.636 Å, c = 8.735 Å
α = 90.00°, β = 90.00°, γ = 123.07°
Atoms (fractional coordinates):
Sc1 0.000 0.000 0.000
Cr1 0.000 0.000 0.500
Br1 0.500 0.500 0.255
Br2 0.500 0.500 0.745

Summary:
SG: Cmmm (65)

***

[2]
Here is an optimized crystal structure of ScCrBr2 from the Alexandria database. Energies are from PBE.

a = 5.098 Å, b = 5.098 Å, c = 5.098 Å
α = 60.00°, β = 60.00°, γ = 60.00°
Atoms (fractional coordinates):
Sc1 0.000 0.000 0.000
Cr1 0.750 0.750 0.750
Br1 0.250 0.250 0.250
Br2 0.500 0.500 0.500

Summary:
SG: F-43m (216)

***

[3]
Here is an optimized crystal structure of ScCrBr2 from the Alexandria database. Energies are from PBE.

a = 3.461 Å, b = 4.309 Å, c = 6.146 Å
α = 90.00°, β = 90.00°, γ = 90.00°
Atoms (fractional coordinates):
Sc1 0.000 0.000 0.000
Cr1 0.500 0.000 0.500
Br1 0.000 0.500 0.500
Br2 0.500 0.500 0.000

Summary:
SG: Pmmm (47)

***

[4]
Here is an optimized crystal structure of ScCrBr2 from the Alexandria database. Energies are from PBE.

a = 4.848 Å, b = 4.848 Å, c = 4.848 Å
α = 60.00°, β = 60.00°, γ = 60.00°
Atoms (fractional coordinates):
Sc1 0.000 0.000 0.000
Cr1 0.500 0.500 0.500
Br1 0.250 0.250 0.250
Br2 0.750 0.750 0.750

Summary:
SG: Fm-3m (225)

***

Calculated calculated total energy, -20.06 -18.65 -20.09 -19.97 eV/cell (same order as the records).
Calculated energy relative to the elements, uncorrected, -0.755 0.653 -0.789 -0.667 eV/f.u. (same order as the records).